No. 1
The following is a DFT calculation (GGA-PBE) of crystalline EuHoPdAu at its relaxed geometry. Values from VASP.

Results
symmetry = F-43m, No. 216
energy of formation = -3.014 eV/f.u.

Cell and atoms, written as Quantum ESPRESSO input:
```
&SYSTEM
  ibrav = 0, nat = 4, ntyp = 4
/
ATOMIC_SPECIES
Eu 151.96 Eu.upf
Au 196.97 Au.upf
Ho 164.93 Ho.upf
Pd 106.42 Pd.upf
CELL_PARAMETERS angstrom
5.095 0.000 0.000
2.548 4.413 0.000
2.548 1.471 4.160
ATOMIC_POSITIONS crystal
Eu 0.750 0.750 0.750
Au 0.000 0.000 0.000
Ho 0.250 0.250 0.250
Pd 0.500 0.500 0.500
```

=====

No. 2
The following is a DFT calculation (GGA-PBE) of crystalline Hg2BiIrN at its relaxed geometry. Values from VASP.

Results
energy relative to the elements, uncorrected = 113.14 kJ/mol of atoms
symmetry = P4/mmm, No. 123

Cell and atoms, written as Quantum ESPRESSO input:
```
&SYSTEM
  ibrav = 0, nat = 5, ntyp = 4
/
ATOMIC_SPECIES
N 14.01 N.upf
Ir 192.22 Ir.upf
Bi 208.98 Bi.upf
Hg 200.59 Hg.upf
CELL_PARAMETERS angstrom
-4.790 -0.686 -2.290
-0.866 -3.994 3.006
-2.209 3.229 3.654
ATOMIC_POSITIONS crystal
N 0.500 0.500 0.500
Ir 0.000 0.000 0.000
Bi 0.000 0.500 0.000
Hg 0.000 0.000 0.500
Hg 0.500 0.000 0.000
```